Entry from the Alexandria database: a geometry-optimized PmYBeAl structure (PBE-GGA).

a = 7.1578 Å, b = 7.1578 Å, c = 7.1578 Å
α = 90.00°, β = 90.00°, γ = 90.00°
Last column: nearest neighbours and their distance in Å.
Space group F-43m (No. 216)
Unique sites:
Pm: 0.0000 0.0000 0.0000  4 Be 3.10, 4 Al 3.10
Y: 0.0000 0.0000 0.5000  4 Al 3.10, 4 Be 3.10
Be: 0.2500 0.2500 0.7500  4 Pm 3.10, 4 Y 3.10
Al: 0.2500 0.2500 0.2500  4 Pm 3.10, 4 Y 3.10

Calculated values
Formation energy from the elements ... -107.9 meV/atom

Entry from the Alexandria database: a geometry-optimized Pa4TcPSe2 structure (PBE-GGA).

a = 7.0229 Å, b = 3.9234 Å, c = 7.1161 Å
α = 90.00°, β = 107.78°, γ = 90.00°
Last column: nearest neighbours and their distance in Å.
Space group P2/m (No. 10)
Unique sites:
Pa: 0.2379 0.0000 0.2258  2 Tc 2.75, 1 P 2.79, 3 Se 2.93-2.98
Pa: 0.2528 0.5000 0.7719  1 Tc 2.75, 2 P 2.79, 3 Se 2.94-2.97
Tc: 0.0000 0.5000 0.0000  6 Pa 2.75
P: 0.5000 0.0000 0.0000  6 Pa 2.79
Se: 0.0000 0.0000 0.5000  6 Pa 2.93-2.94
Se: 0.5000 0.5000 0.5000  6 Pa 2.97-2.98

Calculated values
ΔE_f (raw) ... -0.966 eV per atom

Entry from the Alexandria database: a geometry-optimized CsNa5Te3 structure (PBE-GGA).

a = 5.0499 Å, b = 16.8244 Å, c = 14.8441 Å
α = 90.00°, β = 90.00°, γ = 90.00°
Last column: nearest neighbours and their distance in Å.
Space group Cmcm (No. 63)
Unique sites:
Cs: 0.0000 0.1673 0.2500  5 Te 3.98-4.42, 4 Na 4.43
Na: 0.0000 0.0000 0.0000  4 Te 3.36, 6 Na 3.37
Na: 0.0000 0.1925 0.5636  4 Te 3.09-3.23, 1 Na 3.37
Na: 0.0000 0.4544 0.1408  4 Te 3.10-3.17, 3 Na 3.24-3.37
Te: 0.0000 0.0953 0.7500  6 Na 3.11-3.21
Te: 0.0000 0.3757 0.5482  7 Na 3.09-3.36

Calculated values
ΔE_f (raw) ... -0.933 eV per atom

Entry from the Alexandria database: a geometry-optimized AcPt4Au8 structure (PBE-GGA).

a = 9.3755 Å, b = 9.3755 Å, c = 5.6902 Å
α = 90.00°, β = 90.00°, γ = 90.00°
Last column: nearest neighbours and their distance in Å.
Space group I4/mmm (No. 139)
Unique sites:
Ac: 0.0000 0.0000 0.0000  12 Au 3.20-3.51
Pt: 0.2500 0.2500 0.2500  8 Au 2.76-2.87, 2 Pt 2.85
Au: 0.0000 0.2194 0.5000  4 Pt 2.76, 6 Au 2.91-3.07
Au: 0.0000 0.3411 0.0000  4 Pt 2.87, 5 Au 2.98-3.07, 1 Ac 3.20

Calculated values
Formation energy from the elements ... -294.9 meV/atom

Number 1: DOS(E_F) 0.94 states/eV per atom. Number 2: DOS(E_F) 1.41 states/eV per atom. Number 3: DOS(E_F) 0.00 states/eV per atom. Number 4: DOS(E_F) 0.42 states/eV per atom.